(1)
GeBiP2N | PBE | optimized geometry

```
data_GeBiP2N
_chemical_formula_sum 'Ge1 Bi1 P2 N1'
_symmetry_space_group_name_H-M 'P 1'
_symmetry_Int_Tables_number 1
_symmetry_space_group_name_Hall 'P 1'
_cell_length_a 4.256
_cell_length_b 4.256
_cell_length_c 4.857
_cell_angle_alpha 90.00
_cell_angle_beta 90.00
_cell_angle_gamma 90.00
loop_
_atom_site_label
_atom_site_type_symbol
_atom_site_fract_x
_atom_site_fract_y
_atom_site_fract_z
Ge1 Ge 0.000 0.000 0.000
Bi1 Bi 0.500 0.500 0.000
P1 P 0.000 0.500 0.500
P2 P 0.500 0.000 0.500
N1 N 0.500 0.500 0.500
```

Calculated values
**Formation energy (no corrections)**: 0.886 eV/atom
**Symmetry**: No. 123

(2)
Pr4GeBiN | PBE | optimized geometry

```
data_Pr4GeBiN
_chemical_formula_sum 'Pr8 Ge2 Bi2 N2'
_symmetry_space_group_name_H-M 'P 1'
_symmetry_Int_Tables_number 1
_symmetry_space_group_name_Hall 'P 1'
_cell_length_a 8.919
_cell_length_b 8.919
_cell_length_c 6.954
_cell_angle_alpha 90.00
_cell_angle_beta 90.00
_cell_angle_gamma 134.16
loop_
_atom_site_label
_atom_site_type_symbol
_atom_site_fract_x
_atom_site_fract_y
_atom_site_fract_z
Pr1 Pr 0.000 0.500 0.000
Pr2 Pr 0.000 0.500 0.500
Pr3 Pr 0.079 0.921 0.750
Pr4 Pr 0.409 0.591 0.750
Pr5 Pr 0.500 0.000 0.000
Pr6 Pr 0.500 0.000 0.500
Pr7 Pr 0.591 0.409 0.250
Pr8 Pr 0.921 0.079 0.250
Ge1 Ge 0.114 0.886 0.250
Ge2 Ge 0.886 0.114 0.750
Bi1 Bi 0.395 0.605 0.250
Bi2 Bi 0.605 0.395 0.750
N1 N 0.244 0.756 0.750
N2 N 0.756 0.244 0.250
```

Calculated values
**Formation energy (no corrections)**: -0.831 eV/atom
**Symmetry**: No. 63

(3)
GeBiSN2 | PBE | optimized geometry

```
data_GeBiSN2
_chemical_formula_sum 'Ge1 Bi1 S1 N2'
_symmetry_space_group_name_H-M 'P 1'
_symmetry_Int_Tables_number 1
_symmetry_space_group_name_Hall 'P 1'
_cell_length_a 4.284
_cell_length_b 4.284
_cell_length_c 5.476
_cell_angle_alpha 90.00
_cell_angle_beta 90.00
_cell_angle_gamma 90.00
loop_
_atom_site_label
_atom_site_type_symbol
_atom_site_fract_x
_atom_site_fract_y
_atom_site_fract_z
Ge1 Ge 0.000 0.000 0.000
Bi1 Bi 0.500 0.500 0.500
S1 S 0.500 0.500 0.000
N1 N 0.000 0.500 0.500
N2 N 0.500 0.000 0.500
```

Calculated values
**Formation energy (no corrections)**: 1.499 eV/atom
**Symmetry**: No. 123
**Excess energy over the best structure of this formula in the dataset**: 3.08 eV/f.u.

(4)
GeBiSN2 | PBE | optimized geometry

```
data_GeBiSN2
_chemical_formula_sum 'Ge1 Bi1 S1 N2'
_symmetry_space_group_name_H-M 'P 1'
_symmetry_Int_Tables_number 1
_symmetry_space_group_name_Hall 'P 1'
_cell_length_a 3.933
_cell_length_b 3.933
_cell_length_c 4.869
_cell_angle_alpha 90.00
_cell_angle_beta 90.00
_cell_angle_gamma 90.00
loop_
_atom_site_label
_atom_site_type_symbol
_atom_site_fract_x
_atom_site_fract_y
_atom_site_fract_z
Ge1 Ge 0.000 0.000 0.000
Bi1 Bi 0.500 0.500 0.500
S1 S 0.000 0.000 0.500
N1 N 0.000 0.500 0.000
N2 N 0.500 0.000 0.000
```

Calculated values
**Formation energy (no corrections)**: 0.883 eV/atom
**Symmetry**: No. 123
**Excess energy over the best structure of this formula in the dataset**: 0.00 eV/f.u.